Record 1
DFT (PBE) results for crystalline CsCaTeCl6 at its relaxed geometry.

## Properties
The value obtained for the spin magnetization is 1.00 Bohr magnetons per cell. The calculation puts the calculated total energy at -3.33 eV/atom. Its symmetry is P1 (1).

Lattice parameters (Å, degrees): 7.5618 7.0674 7.7888 88.38 87.22 58.06
Last column: nearest neighbours and their distance in Å.
Fractional positions:
Cs (0.0051, 0.9891, 0.0013)  6 Cl 3.46-3.66
Ca (0.6831, 0.6352, 0.4996)  6 Cl 2.65-2.85
Te (0.3343, 0.3296, 0.5005)  4 Cl 2.57-2.59
Cl (0.9760, 0.3946, 0.2623)  1 Ca 2.65
Cl (0.3582, 0.0102, 0.6850)  1 Te 2.57, 1 Ca 2.85
Cl (0.6351, 0.3855, 0.7341)  1 Ca 2.65
Cl (0.0087, 0.6188, 0.6810)  1 Te 2.59, 1 Ca 2.85
Cl (0.3704, 0.6220, 0.3202)  1 Te 2.59, 1 Ca 2.85
Cl (0.6289, 0.0150, 0.3161)  1 Te 2.57, 1 Ca 2.84



Record 2
DFT (PBE) results for crystalline CsCaTiCl6 at its relaxed geometry.

## Properties
The value obtained for the spin magnetization is 1.00 Bohr magnetons per cell. Its density of states at the Fermi level is 6.98 states/eV/cell. The calculation puts the calculated total energy at -4.39 eV/atom. Its symmetry is C2 (5).

Lattice parameters (Å, degrees): 6.8680 6.8682 7.6873 89.92 89.85 60.01
Last column: nearest neighbours and their distance in Å.
Fractional positions:
Cs (0.9997, 0.0006, 0.0000)  6 Cl 3.52-3.53
Ca (0.6660, 0.6680, 0.5000)  6 Cl 2.74-2.75
Ti (0.3327, 0.3346, 0.5000)  6 Cl 2.45-2.46
Cl (0.0321, 0.3570, 0.3141)  1 Ti 2.45, 1 Ca 2.75
Cl (0.3602, 0.0329, 0.6887)  1 Ti 2.46, 1 Ca 2.74
Cl (0.6108, 0.3570, 0.6859)  1 Ti 2.45, 1 Ca 2.75
Cl (0.0323, 0.6084, 0.6878)  1 Ti 2.45
Cl (0.3592, 0.6086, 0.3123)  1 Ti 2.45
Cl (0.6068, 0.0329, 0.3112)  1 Ti 2.46, 1 Ca 2.74



Record 3
DFT (PBE) results for crystalline CsCa2TiCl8 at its relaxed geometry.

## Properties
The value obtained for the spin magnetization is 1.00 Bohr magnetons per cell. Its density of states at the Fermi level is 4.81 states/eV/cell. The calculation puts the calculated total energy at -4.26 eV/atom. Its symmetry is P-1 (2).

Lattice parameters (Å, degrees): 6.4746 6.3209 8.8364 89.79 89.87 88.59
Last column: nearest neighbours and their distance in Å.
Fractional positions:
Cs (0.0000, 0.0000, 0.5000)  6 Cl 3.21-3.28
Ca (0.4999, 0.4995, 0.7542)  6 Cl 2.75-2.98
Ca (0.5001, 0.5005, 0.2458)  6 Cl 2.75-2.98
Ti (0.0000, 0.0000, 0.0000)  6 Cl 2.42-2.57
Cl (0.1654, 0.7734, 0.1878)  1 Ti 2.42
Cl (0.6946, 0.7476, 0.9996)  1 Ti 2.57
Cl (0.8324, 0.2244, 0.1871)  1 Ti 2.42
Cl (0.8346, 0.2266, 0.8122)  1 Ti 2.42
Cl (0.3054, 0.2524, 0.0004)  1 Ti 2.57
Cl (0.1676, 0.7756, 0.8129)  1 Ti 2.42
Cl (0.5839, 0.7330, 0.4994)  2 Ca 2.75
Cl (0.4161, 0.2670, 0.5006)  2 Ca 2.75



Record 4
DFT (PBE) results for crystalline Cs2CaTlCl5 at its relaxed geometry.

## Properties
The value obtained for the spin magnetization is 0.00 Bohr magnetons per cell. Its density of states at the Fermi level is 0.00 states/eV/cell. The calculation puts the calculated total energy at -3.61 eV/atom. Its symmetry is P4/mmm (123).

Lattice parameters (Å, degrees): 5.3318 5.3318 11.8827 90.00 90.00 90.00
Last column: nearest neighbours and their distance in Å.
Fractional positions:
Cs (0.5000, 0.5000, 0.2834)  5 Cl 3.37-3.71
Cs (0.5000, 0.5000, 0.7166)  5 Cl 3.37-3.71
Ca (0.0000, 0.0000, 0.5000)  6 Cl 2.67-2.79
Tl (0.0000, 0.0000, 0.0000)  2 Cl 3.15
Cl (0.0000, 0.5000, 0.5000)  2 Ca 2.67
Cl (0.5000, 0.0000, 0.5000)  2 Ca 2.67
Cl (0.0000, 0.0000, 0.7346)  1 Ca 2.79
Cl (0.0000, 0.0000, 0.2654)  1 Ca 2.79
Cl (0.5000, 0.5000, 0.0000)  2 Cs 3.37, 4 Tl 3.77



Record 5
DFT (PBE) results for crystalline Cs2Ca2TlCl7 at its relaxed geometry.

## Properties
The value obtained for the spin magnetization is 0.00 Bohr magnetons per cell. Its density of states at the Fermi level is 0.00 states/eV/cell. The calculation puts the calculated total energy at -3.80 eV/atom. Its symmetry is I4/mmm (139).

Lattice parameters (Å, degrees): 5.4217 5.4217 14.5399 79.27 79.27 90.01
Last column: nearest neighbours and their distance in Å.
Fractional positions:
Cs (0.8174, 0.8174, 0.3659)  9 Cl 3.47-3.85
Cs (0.1826, 0.1826, 0.6341)  9 Cl 3.47-3.85
Ca (0.5970, 0.5970, 0.8055)  6 Cl 2.70-2.73
Ca (0.4030, 0.4030, 0.1945)  6 Cl 2.70-2.73
Tl (0.0000, 0.0000, 0.0000)  12 Cl 3.74-3.83
Cl (0.5000, 0.5000, 0.0000)  2 Ca 2.73
Cl (0.3071, 0.3071, 0.3869)  1 Ca 2.70
Cl (0.6929, 0.6929, 0.6131)  1 Ca 2.70
Cl (0.9083, 0.4082, 0.1840)  2 Ca 2.71
Cl (0.4082, 0.9083, 0.1840)  2 Ca 2.71
Cl (0.5918, 0.0917, 0.8160)  2 Ca 2.71
Cl (0.0917, 0.5918, 0.8160)  2 Ca 2.71



Record 6
DFT (PBE) results for crystalline CsCaTlCl6 at its relaxed geometry.

## Properties
The value obtained for the spin magnetization is 0.00 Bohr magnetons per cell. Its density of states at the Fermi level is 0.00 states/eV/cell. The calculation puts the calculated total energy at -3.39 eV/atom. Its symmetry is P312 (149).

Lattice parameters (Å, degrees): 7.0700 7.0700 7.7239 90.00 90.00 60.00
Last column: nearest neighbours and their distance in Å.
Fractional positions:
Cs (0.0000, 0.0000, 0.0000)  6 Cl 3.54
Ca (0.6666, 0.6667, 0.5000)  6 Cl 2.76
Tl (0.3333, 0.3333, 0.5000)  6 Cl 2.65
Cl (0.0121, 0.3717, 0.2999)  1 Tl 2.65, 1 Ca 2.76
Cl (0.3717, 0.0122, 0.7001)  1 Tl 2.65, 1 Ca 2.76
Cl (0.6161, 0.3717, 0.7001)  1 Tl 2.65, 1 Ca 2.76
Cl (0.0121, 0.6161, 0.7001)  1 Tl 2.65, 1 Ca 2.76
Cl (0.3717, 0.6161, 0.2999)  1 Tl 2.65, 1 Ca 2.76
Cl (0.6161, 0.0122, 0.2999)  1 Tl 2.65, 1 Ca 2.76



Record 7
DFT (PBE) results for crystalline Cs3Ca2TlCl9 at its relaxed geometry.

## Properties
The value obtained for the spin magnetization is 0.00 Bohr magnetons per cell. Its density of states at the Fermi level is 6.21 states/eV/cell. The calculation puts the calculated total energy at -3.62 eV/atom. Its symmetry is P-3m1 (164).

Lattice parameters (Å, degrees): 7.8171 7.8171 9.5904 90.00 90.00 120.00
Last column: nearest neighbours and their distance in Å.
Fractional positions:
Cs (0.3333, 0.6667, 0.6603)  12 Cl 3.86-3.96
Cs (0.0000, 0.0000, 0.0000)  12 Cl 3.91-3.92
Cs (0.6667, 0.3333, 0.3397)  12 Cl 3.86-3.96
Ca (0.3333, 0.6667, 0.1594)  6 Cl 2.73-2.74
Ca (0.6667, 0.3333, 0.8406)  6 Cl 2.73-2.74
Tl (0.0000, 0.0000, 0.5000)  6 Cl 2.83
Cl (0.8289, 0.1711, 0.6702)  1 Ca 2.74, 1 Tl 2.83
Cl (0.8289, 0.6579, 0.6702)  1 Ca 2.74, 1 Tl 2.83
Cl (0.3421, 0.1711, 0.6702)  1 Ca 2.74, 1 Tl 2.83
Cl (0.6579, 0.8289, 0.3298)  1 Ca 2.74, 1 Tl 2.83
Cl (0.1711, 0.3421, 0.3298)  1 Ca 2.74, 1 Tl 2.83
Cl (0.1711, 0.8289, 0.3298)  1 Ca 2.74, 1 Tl 2.83
Cl (0.5000, 0.0000, 0.0000)  2 Ca 2.73
Cl (0.0000, 0.5000, 0.0000)  2 Ca 2.73
Cl (0.5000, 0.5000, 0.0000)  2 Ca 2.73



Record 8
DFT (PBE) results for crystalline Cs3CaTl2Cl9 at its relaxed geometry.

## Properties
The value obtained for the spin magnetization is 0.00 Bohr magnetons per cell. Its density of states at the Fermi level is 0.72 states/eV/cell. The calculation puts the calculated total energy at -3.33 eV/atom. Its symmetry is P-3m1 (164).

Lattice parameters (Å, degrees): 7.8611 7.8611 9.6259 90.00 90.00 120.00
Last column: nearest neighbours and their distance in Å.
Fractional positions:
Cs (0.3333, 0.6667, 0.6581)  12 Cl 3.84-4.00
Cs (0.0000, 0.0000, 0.0000)  12 Cl 3.93-3.95
Cs (0.6667, 0.3333, 0.3419)  12 Cl 3.84-4.00
Ca (0.0000, 0.0000, 0.5000)  6 Cl 2.73
Tl (0.3333, 0.6667, 0.1630)  6 Cl 2.76-2.84
Tl (0.6667, 0.3333, 0.8370)  6 Cl 2.76-2.84
Cl (0.8351, 0.1649, 0.6623)  1 Ca 2.73, 1 Tl 2.84
Cl (0.8351, 0.6702, 0.6623)  1 Ca 2.73, 1 Tl 2.84
Cl (0.3298, 0.1649, 0.6623)  1 Ca 2.73, 1 Tl 2.84
Cl (0.6702, 0.8351, 0.3377)  1 Ca 2.73, 1 Tl 2.84
Cl (0.1649, 0.3298, 0.3377)  1 Ca 2.73, 1 Tl 2.84
Cl (0.1649, 0.8351, 0.3377)  1 Ca 2.73, 1 Tl 2.84
Cl (0.5000, 0.0000, 0.0000)  2 Tl 2.76
Cl (0.0000, 0.5000, 0.0000)  2 Tl 2.76
Cl (0.5000, 0.5000, 0.0000)  2 Tl 2.76



Record 9
DFT (PBE) results for crystalline Cs2CaTl2Cl6 at its relaxed geometry.

## Properties
The value obtained for the spin magnetization is 0.00 Bohr magnetons per cell. Its density of states at the Fermi level is 0.00 states/eV/cell. The calculation puts the calculated total energy at -3.51 eV/atom. Its symmetry is C2/m (12).

Lattice parameters (Å, degrees): 8.1617 8.1617 7.6040 99.67 99.67 116.18
Last column: nearest neighbours and their distance in Å.
Fractional positions:
Cs (0.3446, 0.6554, 0.5000)  6 Cl 3.42-3.52
Cs (0.6554, 0.3446, 0.5000)  6 Cl 3.42-3.52
Ca (0.0000, 0.0000, 0.5000)  6 Cl 2.79
Tl (0.8348, 0.1652, 0.0000)  4 Cl 3.09-3.17
Tl (0.1652, 0.8348, 0.0000)  4 Cl 3.09-3.17
Cl (0.8180, 0.8180, 0.7446)  1 Ca 2.79, 2 Tl 3.09
Cl (0.0558, 0.3414, 0.7161)  1 Ca 2.79
Cl (0.1820, 0.1820, 0.2554)  1 Ca 2.79, 2 Tl 3.09
Cl (0.3414, 0.0558, 0.7161)  1 Ca 2.79
Cl (0.9442, 0.6586, 0.2839)  1 Ca 2.79
Cl (0.6586, 0.9442, 0.2839)  1 Ca 2.79



Record 10
DFT (PBE) results for crystalline CsCaTl2Cl8 at its relaxed geometry.

## Properties
The value obtained for the spin magnetization is 0.91 Bohr magnetons per cell. Its density of states at the Fermi level is 7.45 states/eV/cell. The calculation puts the calculated total energy at -3.15 eV/atom. Its symmetry is P-3 (147).

Lattice parameters (Å, degrees): 6.9862 6.9862 9.9670 90.00 90.00 120.00
Last column: nearest neighbours and their distance in Å.
Fractional positions:
Cs (0.0000, 0.0000, 0.0000)  12 Cl 3.96-4.04
Ca (0.0000, 0.0000, 0.5000)  6 Cl 2.75
Tl (0.6667, 0.3333, 0.2650)  4 Cl 2.52-2.61
Tl (0.3333, 0.6667, 0.7350)  4 Cl 2.52-2.61
Cl (0.3333, 0.6667, 0.9883)  1 Tl 2.52
Cl (0.2996, 0.3234, 0.3311)  1 Tl 2.61, 1 Ca 2.75
Cl (0.6766, 0.9762, 0.3311)  1 Tl 2.61, 1 Ca 2.75
Cl (0.6667, 0.3333, 0.0117)  1 Tl 2.52
Cl (0.3234, 0.0238, 0.6689)  1 Tl 2.61, 1 Ca 2.75
Cl (0.7004, 0.6766, 0.6689)  1 Tl 2.61, 1 Ca 2.75
Cl (0.9762, 0.2996, 0.6689)  1 Tl 2.61, 1 Ca 2.75
Cl (0.0238, 0.7004, 0.3311)  1 Tl 2.61, 1 Ca 2.75